CsVP3HO10 | the Alexandria database | PBE+U | optimized geometry; magnetic moment = 0.125 μB per atom; calculated total energy = -111.95 eV per formula unit
1.0
7.5863 0.0182 0.0041
2.4203 7.1899 0.0041
2.6825 1.9323 8.6327
Cs V P H O
2 2 6 2 20
direct
0.9395 0.0605 0.7500
0.0605 0.9395 0.2500
0.5000 0.0000 0.5000
0.0000 0.5000 0.0000
0.3763 0.6237 0.7500
0.6237 0.3763 0.2500
0.3547 0.2314 0.7993
0.7686 0.6453 0.7007
0.6453 0.7686 0.2007
0.2314 0.3547 0.2993
0.5000 0.0000 0.0000
0.0000 0.5000 0.5000
0.5689 0.5953 0.8033
0.4047 0.4311 0.6967
0.4311 0.4047 0.1967
0.5953 0.5689 0.3033
0.5081 0.1375 0.8952
0.8625 0.4919 0.6048
0.4919 0.8625 0.1048
0.1375 0.5081 0.3952
0.3637 0.1208 0.6833
0.8792 0.6363 0.8167
0.6363 0.8792 0.3167
0.1208 0.3637 0.1833
0.3587 0.7844 0.6088
0.2156 0.6413 0.8912
0.6413 0.2156 0.3912
0.7844 0.3587 0.1088
0.7220 0.8491 0.6019
0.1509 0.2780 0.8981
0.2780 0.1509 0.3981
0.8491 0.7220 0.1019